Here is EuGdPtRh after structural relaxation from Alexandria. Energies are from GGA-PBE.

Geometry as POSCAR:
```
EuGdPtRh
1.0
0.000 3.522 3.522
3.522 0.000 3.522
3.522 3.522 0.000
Eu Gd Pt Rh
1 1 1 1
direct
0.000 0.000 0.000
0.500 0.500 0.500
0.250 0.250 0.250
0.750 0.750 0.750
```

=====

Here is RbGe2Pt2 after structural relaxation from Alexandria. Energies are from GGA-PBE.

Geometry as POSCAR:
```
RbGe2Pt2
1.0
8.379 0.000 0.000
0.000 8.379 0.000
0.000 0.000 3.023
Rb Ge Pt
2 4 4
direct
0.000 0.000 0.000
0.500 0.500 0.000
0.133 0.367 0.500
0.367 0.867 0.500
0.633 0.133 0.500
0.867 0.633 0.500
0.126 0.626 0.000
0.374 0.126 0.000
0.626 0.874 0.000
0.874 0.374 0.000
```

Calculated values
**Excess energy over the best structure of this formula in the dataset**: 8.453 kcal/mol of atoms

=====

Here is LaPd2PtS after structural relaxation from Alexandria. Energies are from GGA-PBE.

Geometry as POSCAR:
```
LaPd2PtS
1.0
5.071 0.000 0.000
0.000 5.071 0.000
0.000 0.000 5.310
La Pd Pt S
1 2 1 1
direct
0.000 0.000 0.000
0.000 0.500 0.000
0.500 0.000 0.000
0.500 0.500 0.500
0.000 0.000 0.500
```

Calculated values
**Formation energy (no corrections)**: 0.754 eV per atom

=====

Here is Ba2ZnAg2 after structural relaxation from Alexandria. Energies are from GGA-PBE.

Geometry as POSCAR:
```
Ba2ZnAg2
1.0
9.239 0.000 0.000
0.000 9.239 0.000
0.000 0.000 4.304
Ba Zn Ag
4 2 4
direct
0.176 0.324 0.000
0.324 0.824 0.000
0.676 0.176 0.000
0.824 0.676 0.000
0.000 0.000 0.000
0.500 0.500 0.000
0.112 0.612 0.500
0.388 0.112 0.500
0.612 0.888 0.500
0.888 0.388 0.500
```

Calculated values
**Excess energy over the best structure of this formula in the dataset**: 4.992 kcal/mol of atoms

=====

Here is SrLi4Rh after structural relaxation from Alexandria. Energies are from GGA-PBE.

Geometry as POSCAR:
```
SrLi4Rh
1.0
-3.253 3.253 6.401
3.253 -3.253 6.401
3.253 3.253 -6.401
Sr Li Rh
2 8 2
direct
0.000 0.000 0.000
0.500 0.500 0.000
0.017 0.517 0.184
0.168 0.983 0.500
0.332 0.832 0.816
0.483 0.668 0.500
0.517 0.332 0.500
0.668 0.168 0.184
0.832 0.017 0.500
0.983 0.483 0.816
0.250 0.250 0.000
0.750 0.750 0.000
```

Calculated values
**Excess energy over the best structure of this formula in the dataset**: 1.092 kcal/mol of atoms

=====

Here is Li3Ca2Tl2 after structural relaxation from Alexandria. Energies are from GGA-PBE.

Geometry as POSCAR:
```
Li3Ca2Tl2
1.0
5.587 -2.442 0.000
5.587 2.442 0.000
-2.643 0.000 6.549
Li Ca Tl
3 2 2
direct
0.000 0.000 0.000
0.123 0.123 0.438
0.877 0.877 0.562
0.345 0.345 0.228
0.655 0.655 0.772
0.365 0.365 0.771
0.635 0.635 0.229
```

=====

Here is Pm2Pr5Tl5 after structural relaxation from Alexandria. Energies are from GGA-PBE.

Geometry as POSCAR:
```
Pm2Pr5Tl5
1.0
6.011 -2.649 0.000
6.011 2.649 0.000
-4.249 0.000 12.002
Pm Pr Tl
2 5 5
direct
0.062 0.062 0.264
0.938 0.938 0.736
0.346 0.346 0.494
0.350 0.350 0.216
0.500 0.500 0.000
0.650 0.650 0.784
0.654 0.654 0.506
0.000 0.000 0.500
0.161 0.161 0.965
0.277 0.277 0.726
0.723 0.723 0.274
0.839 0.839 0.035
```

=====

Here is TbNdDyTl after structural relaxation from Alexandria. Energies are from GGA-PBE.

Geometry as POSCAR:
```
TbNdDyTl
1.0
0.000 3.913 3.913
3.913 0.000 3.913
3.913 3.913 0.000
Tb Nd Dy Tl
1 1 1 1
direct
0.000 0.000 0.000
0.250 0.250 0.250
0.750 0.750 0.750
0.500 0.500 0.500
```

Calculated values
**Excess energy over the best structure of this formula in the dataset**: 3.341 kcal/mol of atoms

=====

| no. | final energy (eV/atom) |
| --- | --- |
| 1 | -10.2242 |
| 2 | -4.5596 |
| 3 | -4.3425 |
| 4 | -2.2008 |
| 5 | -2.8034 |
| 6 | -2.3353 |
| 7 | -4.0023 |
| 8 | -4.1334 |